[1]
VASP calculation (PBE) on a relaxed RbSe crystal.

abc: 12.0447 12.0447 5.1572
angles: 90.00 90.00 90.00
Positions (direct):
Rb: 0.0000 0.2526 0.0000
Rb: 0.0000 0.7474 0.0000
Rb: 0.2474 0.5000 0.5000
Rb: 0.2526 0.0000 0.0000
Rb: 0.5000 0.2474 0.5000
Rb: 0.5000 0.7526 0.5000
Rb: 0.7474 0.0000 0.0000
Rb: 0.7526 0.5000 0.5000
Se: 0.2245 0.2245 0.5000
Se: 0.2245 0.7755 0.5000
Se: 0.2755 0.2755 0.0000
Se: 0.2755 0.7245 0.0000
Se: 0.7245 0.2755 0.0000
Se: 0.7245 0.7245 0.0000
Se: 0.7755 0.2245 0.5000
Se: 0.7755 0.7755 0.5000

Its space group is I4/mmm, No. 139. The spin magnetization is 0.00 μB per cell.



[2]
VASP calculation (PBE) on a relaxed RbSe2 crystal.

abc: 4.6529 7.0308 7.0322
angles: 89.40 71.21 71.08
Positions (direct):
Rb: 0.2497 0.2358 0.2643
Rb: 0.7503 0.7642 0.7357
Se: 0.0296 0.7749 0.1788
Se: 0.4701 0.3211 0.7252
Se: 0.5299 0.6789 0.2748
Se: 0.9704 0.2251 0.8212

The excess energy over the best structure of this formula in the dataset is 0.000 eV/f.u. Its space group is P-1, No. 2. The spin magnetization is 0.00 μB per cell.



[3]
VASP calculation (PBE) on a relaxed Rb3Se4 crystal.

abc: 21.3431 4.5160 5.3482
angles: 90.00 90.22 90.00
Positions (direct):
Rb: 0.0000 0.0000 0.0000
Rb: 0.1765 0.0000 0.7085
Rb: 0.3235 0.5000 0.2915
Rb: 0.5000 0.5000 0.0000
Rb: 0.6765 0.5000 0.7085
Rb: 0.8235 0.0000 0.2915
Se: 0.0628 0.5000 0.4707
Se: 0.1567 0.5000 0.2143
Se: 0.3433 0.0000 0.7857
Se: 0.4372 0.0000 0.5293
Se: 0.5628 0.0000 0.4707
Se: 0.6567 0.0000 0.2143
Se: 0.8433 0.5000 0.7857
Se: 0.9372 0.5000 0.5293

Its space group is C2/m, No. 12. The spin magnetization is 0.00 μB per cell.



[4]
VASP calculation (PBE) on a relaxed RbSe crystal.

abc: 6.4623 6.4623 16.4853
angles: 90.00 90.00 90.00
Positions (direct):
Rb: 0.0297 0.3171 0.1244
Rb: 0.1829 0.5297 0.3744
Rb: 0.3171 0.0297 0.8756
Rb: 0.4703 0.8171 0.1256
Rb: 0.5297 0.1829 0.6256
Rb: 0.6829 0.9703 0.3756
Rb: 0.8171 0.4703 0.8744
Rb: 0.9703 0.6829 0.6244
Se: 0.0262 0.1834 0.7049
Se: 0.1834 0.0262 0.2951
Se: 0.3166 0.5262 0.9549
Se: 0.4738 0.6834 0.5451
Se: 0.5262 0.3166 0.0451
Se: 0.6834 0.4738 0.4549
Se: 0.8166 0.9738 0.7951
Se: 0.9738 0.8166 0.2049

Its space group is P4_12_12, No. 92. The spin magnetization is 0.00 μB per cell.



[5]
VASP calculation (PBE) on a relaxed RbSe crystal.

abc: 7.8849 7.8849 7.8849
angles: 90.00 90.00 90.00
Positions (direct):
Rb: 0.0000 0.0000 0.0000
Rb: 0.0000 0.5000 0.5000
Rb: 0.5000 0.0000 0.5000
Rb: 0.5000 0.5000 0.0000
Se: 0.2500 0.2500 0.2500
Se: 0.2500 0.7500 0.7500
Se: 0.7500 0.2500 0.7500
Se: 0.7500 0.7500 0.2500

Its space group is F-43m, No. 216. The spin magnetization is 4.00 μB per cell.



[6]
VASP calculation (PBE) on a relaxed RbSe crystal.

abc: 4.7220 20.7884 5.1337
angles: 90.00 90.00 90.00
Positions (direct):
Rb: 0.0000 0.0000 0.0000
Rb: 0.0000 0.3396 0.5000
Rb: 0.0000 0.6604 0.5000
Rb: 0.5000 0.1604 0.5000
Rb: 0.5000 0.5000 0.0000
Rb: 0.5000 0.8396 0.5000
Se: 0.0000 0.2250 0.0000
Se: 0.0000 0.5000 0.5000
Se: 0.0000 0.7750 0.0000
Se: 0.5000 0.0000 0.5000
Se: 0.5000 0.2750 0.0000
Se: 0.5000 0.7250 0.0000

Its space group is Cmmm, No. 65. The spin magnetization is 0.80 μB per cell.



[7]
VASP calculation (PBE) on a relaxed RbSe crystal.

abc: 7.3951 7.3951 6.6880
angles: 90.00 90.00 90.00
Positions (direct):
Rb: 0.1996 0.1996 0.0000
Rb: 0.3004 0.6996 0.5000
Rb: 0.6996 0.3004 0.5000
Rb: 0.8004 0.8004 0.0000
Se: 0.1169 0.1169 0.5000
Se: 0.3831 0.6169 0.0000
Se: 0.6169 0.3831 0.0000
Se: 0.8831 0.8831 0.5000

Its space group is P4_2/mnm, No. 136. The spin magnetization is 0.00 μB per cell.



[8]
VASP calculation (PBE) on a relaxed Rb2Si2Se crystal.

abc: 10.3908 10.3908 3.1205
angles: 90.00 90.00 90.00
Positions (direct):
Rb: 0.2158 0.2842 0.0000
Rb: 0.2842 0.7842 0.0000
Rb: 0.7158 0.2158 0.0000
Rb: 0.7842 0.7158 0.0000
Si: 0.0747 0.5747 0.5000
Si: 0.4253 0.0747 0.5000
Si: 0.5747 0.9253 0.5000
Si: 0.9253 0.4253 0.5000
Se: 0.0000 0.0000 0.0000
Se: 0.5000 0.5000 0.0000

The excess energy over the best structure of this formula in the dataset is 1.901 eV/f.u. Its space group is P4/mbm, No. 127. The spin magnetization is 0.02 μB per cell.



[9]
VASP calculation (PBE) on a relaxed Rb2Si2Se crystal.

abc: 3.6114 3.6114 22.2418
angles: 90.00 90.00 90.00
Positions (direct):
Rb: 0.0000 0.0000 0.0985
Rb: 0.0000 0.0000 0.9015
Rb: 0.5000 0.5000 0.4015
Rb: 0.5000 0.5000 0.5985
Si: 0.0000 0.5000 0.2500
Si: 0.0000 0.5000 0.7500
Si: 0.5000 0.0000 0.2500
Si: 0.5000 0.0000 0.7500
Se: 0.0000 0.0000 0.5000
Se: 0.5000 0.5000 0.0000

The excess energy over the best structure of this formula in the dataset is 0.000 eV/f.u. Its space group is I4/mmm, No. 139. The spin magnetization is 0.00 μB per cell.



[10]
VASP calculation (PBE) on a relaxed Rb4SiSe4 crystal.

abc: 9.5764 9.5764 7.2780
angles: 90.00 90.00 90.00
Positions (direct):
Rb: 0.0226 0.2500 0.0915
Rb: 0.2500 0.0226 0.5915
Rb: 0.2500 0.4774 0.5915
Rb: 0.4774 0.2500 0.0915
Rb: 0.5226 0.7500 0.9085
Rb: 0.7500 0.5226 0.4085
Rb: 0.7500 0.9774 0.4085
Rb: 0.9774 0.7500 0.9085
Si: 0.2500 0.7500 0.2500
Si: 0.7500 0.2500 0.7500
Se: 0.0482 0.7500 0.4255
Se: 0.2500 0.5482 0.0745
Se: 0.2500 0.9518 0.0745
Se: 0.4518 0.7500 0.4255
Se: 0.5482 0.2500 0.5745
Se: 0.7500 0.0482 0.9255
Se: 0.7500 0.4518 0.9255
Se: 0.9518 0.2500 0.5745

The excess energy over the best structure of this formula in the dataset is 0.000 eV/f.u. Its space group is P4_2/nmc, No. 137. The spin magnetization is 0.00 μB per cell.



[11]
VASP calculation (PBE) on a relaxed Rb3SiSe3 crystal.

abc: 10.1986 10.1986 6.8717
angles: 90.00 90.00 119.83
Positions (direct):
Rb: 0.1876 0.8124 0.7500
Rb: 0.1887 0.3767 0.7500
Rb: 0.3767 0.1887 0.2500
Rb: 0.6233 0.8113 0.7500
Rb: 0.8113 0.6233 0.2500
Rb: 0.8124 0.1876 0.2500
Si: 0.3330 0.6670 0.2500
Si: 0.6670 0.3330 0.7500
Se: 0.2044 0.7956 0.2500
Se: 0.2054 0.4105 0.2500
Se: 0.4105 0.2054 0.7500
Se: 0.5895 0.7946 0.2500
Se: 0.7946 0.5895 0.7500
Se: 0.7956 0.2044 0.7500

The excess energy over the best structure of this formula in the dataset is 0.948 eV/f.u. Its space group is Cmcm, No. 63. The spin magnetization is 1.51 μB per cell.



[12]
VASP calculation (PBE) on a relaxed Rb2SiSe crystal.

abc: 12.9648 12.9648 4.9786
angles: 90.00 90.00 90.00
Positions (direct):
Rb: 0.0515 0.2500 0.1250
Rb: 0.2500 0.5515 0.3750
Rb: 0.2500 0.9485 0.8750
Rb: 0.4485 0.2500 0.6250
Rb: 0.5515 0.7500 0.6250
Rb: 0.7500 0.0515 0.8750
Rb: 0.7500 0.4485 0.3750
Rb: 0.9485 0.7500 0.1250
Si: 0.0000 0.0000 0.5000
Si: 0.0000 0.5000 0.7500
Si: 0.5000 0.0000 0.2500
Si: 0.5000 0.5000 0.0000
Se: 0.0000 0.0000 0.0000
Se: 0.0000 0.5000 0.2500
Se: 0.5000 0.0000 0.7500
Se: 0.5000 0.5000 0.5000

The excess energy over the best structure of this formula in the dataset is 0.000 eV/f.u. Its space group is I-42d, No. 122. The spin magnetization is 0.00 μB per cell.



Results for formation energy without anion corrections: -75.8, -64.3, -75.4, -88.7, -29.8, -81.9, -82.7, 24.6, -12.1, -102.7, -74.9, -7.2 (in kJ/mol of atoms, following the order of the records).